Entry 1:
YMnBi2 | GGA-PBE | optimized geometry

a = 5.109 Å, b = 5.109 Å, c = 5.109 Å
α = 60.00°, β = 60.00°, γ = 60.00°
Positions (direct):
Y: 0.000 0.000 0.000
Mn: 0.500 0.500 0.500
Bi: 0.250 0.250 0.250
Bi: 0.750 0.750 0.750

Output
Formation energy from the elements   265 meV per atom
SG   Fm-3m
E   -5.584 eV/atom
Energy above the most stable polymorph in this dataset   0.075 eV/atom
Theoretical density   9.9 g cm⁻³

***

Entry 2:
Y2Mn2Bi | GGA-PBE | optimized geometry

a = 7.217 Å, b = 7.217 Å, c = 4.251 Å
α = 90.00°, β = 90.00°, γ = 90.00°
Positions (direct):
Y: 0.180 0.320 0.000
Y: 0.320 0.820 0.000
Y: 0.680 0.180 0.000
Y: 0.820 0.680 0.000
Mn: 0.101 0.601 0.500
Mn: 0.399 0.101 0.500
Mn: 0.601 0.899 0.500
Mn: 0.899 0.399 0.500
Bi: 0.000 0.000 0.500
Bi: 0.500 0.500 0.500

Output
Formation energy from the elements   -36 meV per atom
SG   P4/mbm
E   -7.066 eV/atom
Theoretical density   7.4 g cm⁻³

***

Entry 3:
YMnBi2 | GGA-PBE | optimized geometry

a = 9.013 Å, b = 9.013 Å, c = 9.013 Å
α = 140.83°, β = 140.83°, γ = 56.59°
Positions (direct):
Y: 0.000 0.000 0.000
Y: 0.750 0.250 0.500
Mn: 0.250 0.750 0.500
Mn: 0.500 0.500 0.000
Bi: 0.179 0.625 0.054
Bi: 0.375 0.429 0.554
Bi: 0.571 0.125 0.946
Bi: 0.875 0.821 0.446

Output
Formation energy from the elements   189 meV per atom
SG   I-42d
E   -5.660 eV/atom
Energy above the most stable polymorph in this dataset   0.000 eV/atom
Theoretical density   6.4 g cm⁻³

***

Entry 4:
Y3MnBi | GGA-PBE | optimized geometry

a = 5.767 Å, b = 5.767 Å, c = 5.767 Å
α = 90.00°, β = 90.00°, γ = 90.00°
Positions (direct):
Y: 0.000 0.000 0.500
Y: 0.000 0.500 0.000
Y: 0.500 0.000 0.000
Mn: 0.500 0.500 0.500
Bi: 0.000 0.000 0.000

Output
Formation energy from the elements   615 meV per atom
SG   Pm-3m
E   -5.873 eV/atom
Theoretical density   4.6 g cm⁻³

***

Entry 5:
MnZnBi2 | GGA-PBE | optimized geometry

a = 7.632 Å, b = 7.632 Å, c = 7.632 Å
α = 132.28°, β = 132.28°, γ = 69.79°
Positions (direct):
Mn: 0.000 0.000 0.000
Mn: 0.750 0.250 0.500
Zn: 0.250 0.750 0.500
Zn: 0.500 0.500 0.000
Bi: 0.088 0.625 0.963
Bi: 0.375 0.338 0.463
Bi: 0.662 0.125 0.037
Bi: 0.875 0.912 0.537

Output
Formation energy from the elements   729 meV per atom
SG   I-42d
E   -3.823 eV/atom
Theoretical density   7.5 g cm⁻³

***

Entry 6:
MnZn3Bi | GGA-PBE | optimized geometry

a = 4.779 Å, b = 4.779 Å, c = 4.779 Å
α = 90.00°, β = 90.00°, γ = 90.00°
Positions (direct):
Mn: 0.000 0.000 0.000
Zn: 0.000 0.000 0.500
Zn: 0.000 0.500 0.000
Zn: 0.500 0.000 0.000
Bi: 0.500 0.500 0.500

Output
Formation energy from the elements   526 meV per atom
SG   Pm-3m
E   -2.849 eV/atom
Energy above the most stable polymorph in this dataset   0.000 eV/atom
Theoretical density   7.0 g cm⁻³

***

Entry 7:
ZrMn3Bi | GGA-PBE | optimized geometry

a = 4.875 Å, b = 4.875 Å, c = 4.875 Å
α = 90.00°, β = 90.00°, γ = 90.00°
Positions (direct):
Zr: 0.000 0.000 0.000
Mn: 0.000 0.000 0.500
Mn: 0.000 0.500 0.000
Mn: 0.500 0.000 0.000
Bi: 0.500 0.500 0.500

Output
Formation energy from the elements   1173 meV per atom
SG   Pm-3m
E   -6.815 eV/atom
Energy above the most stable polymorph in this dataset   0.000 eV/atom
Theoretical density   6.7 g cm⁻³

***

Entry 8:
Zr3MnBi | GGA-PBE | optimized geometry

a = 4.876 Å, b = 4.876 Å, c = 4.876 Å
α = 90.00°, β = 90.00°, γ = 90.00°
Positions (direct):
Zr: 0.000 0.000 0.500
Zr: 0.000 0.500 0.000
Zr: 0.500 0.000 0.000
Mn: 0.000 0.000 0.000
Bi: 0.500 0.500 0.500

Output
Formation energy from the elements   106 meV per atom
SG   Pm-3m
E   -7.633 eV/atom
Energy above the most stable polymorph in this dataset   0.000 eV/atom
Theoretical density   7.7 g cm⁻³